No. 1
Compound: PmRe4N12
Source: Alexandria via LeMat-Bulk
Functional: PBE-GGA
Structure: optimized geometry

POSCAR file:
```
PmRe4N12
1.0
6.1141 0.0000 0.0000
-2.0380 5.7644 0.0000
-2.0380 -2.8822 4.9921
Pm Re N
1 4 12
Cartesian
0.0000 0.0000 0.0000
-1.0190 2.8822 0.0000
3.0570 0.0000 0.0000
1.0190 1.4411 2.4961
-1.0190 -1.4411 2.4961
4.3995 1.2124 1.1328
0.9249 2.1456 0.4836
3.1512 -1.3906 3.3757
-0.3234 -1.2950 4.5085
-1.1131 4.2728 1.6164
1.1131 0.7366 4.5085
1.7146 -0.3748 1.6164
0.3234 3.2570 3.3758
2.3614 4.1772 0.4836
2.9629 2.2282 2.8921
-0.9249 0.6540 2.1000
-2.3614 1.6698 3.8594
```

Output
* raw formation energy: 0.47 eV per atom
* M_tot: 0.0 μB/f.u.
* SG: No. 204

No. 2
Compound: LiY2TeH
Source: Alexandria via LeMat-Bulk
Functional: PBE-GGA
Structure: optimized geometry

POSCAR file:
```
LiY2TeH
1.0
-2.0550 4.0729 1.9155
-3.2812 -2.7971 2.4271
2.5121 -0.2138 3.1497
Y H Te Li
2 1 1 1
Cartesian
-1.6406 -1.3985 1.2135
-1.0275 2.0364 0.9577
0.0000 0.0000 0.0000
-1.4121 0.5310 3.7461
1.2560 -0.1069 1.5748
```

Output
* M_tot: 0.0 μB/f.u.
* SG: No. 123
* E: -4.806 eV per atom

No. 3
Compound: Zn2GePd3
Source: Alexandria via LeMat-Bulk
Functional: PBE-GGA
Structure: optimized geometry

POSCAR file:
```
Zn2GePd3
1.0
4.3444 0.0000 0.0175
2.1722 6.5363 0.0087
-0.0250 0.0000 6.2791
Zn Ge Pd
4 2 6
Cartesian
0.0000 0.0000 0.0000
-0.0125 0.0000 3.1396
2.1597 2.1828 3.1483
4.3319 4.3535 3.1571
2.1722 2.1288 0.0087
4.3444 4.4075 0.0175
4.3255 2.1820 4.7415
2.1660 0.0000 1.5722
2.1660 4.3543 1.5639
4.3382 2.1820 1.5727
2.1533 4.3543 4.7327
2.1533 0.0000 4.7244
```

Output
* M_tot: 0.0 μB/f.u.
* formation energy: -2.71 eV/f.u.
* SG: No. 65

No. 4
Compound: NaAlCd2Au4
Source: Alexandria via LeMat-Bulk
Functional: PBE-GGA
Structure: optimized geometry

POSCAR file:
```
NaAlCd2Au4
1.0
-3.3192 3.3439 0.7531
-1.5274 0.8899 4.4318
3.9555 6.7500 2.5764
Na Al Cd Au
1 1 2 4
Cartesian
0.0000 0.0000 0.0000
-0.4456 5.4919 3.8806
-0.5003 8.3989 5.8465
-0.3908 2.5849 1.9147
1.4119 7.2720 4.1634
-2.5849 6.4012 5.5292
1.6938 4.5826 2.2321
-2.3030 3.7119 3.5979
```

Output
* M_tot: 0.0 μB/f.u.
* formation energy: -2.01 eV/f.u.
* SG: No. 166

No. 5
Compound: CsAcBi
Source: Alexandria via LeMat-Bulk
Functional: PBE-GGA
Structure: optimized geometry

POSCAR file:
```
CsAcBi
1.0
-1.2106 -4.8037 -1.0691
4.1823 1.0245 2.6725
-4.6445 -0.4888 7.4558
Cs Ac Bi
1 1 1
Cartesian
-0.3463 -0.0364 0.5559
-0.1596 -1.1859 5.5095
-1.1670 -3.0455 2.9938
```

Output
* excess energy over the best structure of this formula in the dataset: 221 meV/atom
* M_tot: 0.2 μB/f.u.
* formation energy: -0.89 eV/f.u.
* SG: No. 156

No. 6
Compound: Sc3InHg
Source: Alexandria via LeMat-Bulk
Functional: PBE-GGA
Structure: optimized geometry

POSCAR file:
```
Sc3InHg
1.0
5.2615 0.0000 0.0000
0.0000 5.2615 0.0000
0.0000 0.0000 5.2615
Sc Hg In
3 1 1
Cartesian
0.0000 2.6308 0.0000
0.0000 0.0000 2.6308
2.6308 0.0000 0.0000
0.0000 0.0000 0.0000
2.6308 2.6308 2.6308
```

Output
* excess energy over the best structure of this formula in the dataset: 557 meV/atom
* M_tot: 0.0 μB/f.u.
* formation energy: 1.10 eV/f.u.
* SG: No. 221

No. 7
Compound: CsZrSn2
Source: Alexandria via LeMat-Bulk
Functional: PBE-GGA
Structure: optimized geometry

POSCAR file:
```
CsZrSn2
1.0
6.5340 0.0000 0.0000
0.0000 6.5340 0.0000
3.2670 3.2670 9.2820
Cs Sn Zr
2 4 2
Cartesian
0.0000 0.0000 0.0000
6.5340 3.2670 4.6410
3.2692 1.6335 2.3205
3.2648 4.9005 2.3205
4.9005 6.5317 6.9615
8.1674 6.5362 6.9615
3.2670 3.2670 0.0000
3.2670 6.5340 4.6410
```

Output
* excess energy over the best structure of this formula in the dataset: 0 meV/atom
* M_tot: 0.0 μB/f.u.
* formation energy: 0.77 eV/f.u.
* SG: No. 141

No. 8
Compound: NpSi2Mo
Source: Alexandria via LeMat-Bulk
Functional: PBE-GGA
Structure: optimized geometry

POSCAR file:
```
NpSi2Mo
1.0
-0.7040 -1.2477 3.3215
-0.8600 -3.4806 0.4799
5.8583 -3.0418 2.0688
Np Mo Si
1 1 2
Cartesian
2.1471 -3.8851 2.9351
0.0000 0.0000 0.0000
0.8331 -1.8873 1.4373
3.4612 -5.8829 4.4329
```

Output
* raw formation energy: 0.00 eV per atom
* M_tot: 3.5 μB/f.u.
* SG: No. 166

No. 9
Compound: Mg2InPt2
Source: Alexandria via LeMat-Bulk
Functional: PBE-GGA
Structure: optimized geometry

POSCAR file:
```
Mg2InPt2
1.0
7.6350 0.0000 0.0000
0.0000 7.6350 0.0000
0.0000 0.0000 3.0981
Mg Pt In
4 4 2
Cartesian
1.1079 4.9254 1.5491
4.9254 6.5271 1.5491
6.5271 2.7096 1.5491
2.7096 1.1079 1.5491
2.6687 6.4862 0.0000
6.4862 4.9663 0.0000
4.9663 1.1488 0.0000
1.1488 2.6687 0.0000
0.0000 0.0000 0.0000
3.8175 3.8175 0.0000
```

Output
* M_tot: 0.0 μB/f.u.
* formation energy: -3.36 eV/f.u.
* SG: No. 127

No. 10
Compound: BaGa2Sn2
Source: Alexandria via LeMat-Bulk
Functional: PBE-GGA
Structure: optimized geometry

POSCAR file:
```
BaGa2Sn2
1.0
5.1608 0.0000 0.0000
0.0000 5.1608 0.0000
2.5804 2.5804 5.3611
Ba Ga Sn
1 2 2
Cartesian
0.0000 0.0000 0.0000
5.1608 2.5804 2.6806
2.5804 5.1608 2.6806
2.5804 2.5804 1.4704
5.1608 5.1608 3.8907
```

Output
* excess energy over the best structure of this formula in the dataset: 21 meV/atom
* M_tot: 0.0 μB/f.u.
* formation energy: -1.82 eV/f.u.
* SG: No. 139

No. 11
Compound: CdRe2Ag
Source: Alexandria via LeMat-Bulk
Functional: PBE-GGA
Structure: optimized geometry

POSCAR file:
```
CdRe2Ag
1.0
4.5475 0.0000 0.0000
2.2737 3.9382 0.0000
2.2737 1.3127 3.7130
Re Ag Cd
2 1 1
Cartesian
0.0000 0.0000 0.0000
2.2737 1.3127 0.9283
4.5475 2.6255 1.8565
6.8212 3.9382 2.7848
```

Output
* M_tot: 0.0 μB/f.u.
* formation energy: 2.96 eV/f.u.
* SG: No. 216

No. 12
Compound: BaYRu2
Source: Alexandria via LeMat-Bulk
Functional: PBE-GGA
Structure: optimized geometry

POSCAR file:
```
BaYRu2
1.0
3.4677 0.0063 0.0000
-0.3778 3.4470 0.0000
0.0000 0.0000 8.8236
Ba Ru Y
1 2 1
Cartesian
1.5449 1.7266 7.1428
0.0000 0.0000 0.8317
1.5449 1.7266 1.6793
0.0000 0.0000 3.5816
```

Output
* M_tot: 0.0 μB/f.u.
* formation energy: 1.31 eV/f.u.
* SG: No. 35

No. 13
Compound: BeCdBIrAu
Source: Alexandria via LeMat-Bulk
Functional: PBE-GGA
Structure: optimized geometry

POSCAR file:
```
BeCdBIrAu
1.0
-0.5283 -0.8575 3.2645
-1.2241 -1.9750 -2.5045
6.3078 -3.9036 -0.0046
Be B Ir Au Cd
1 1 1 1 1
Cartesian
4.4620 -4.9778 -0.5855
4.9737 -3.0780 -0.0037
3.6061 -3.9321 1.3383
1.6223 -3.2204 -0.5834
0.8694 -0.5380 -0.0006
```

Output
* excess energy over the best structure of this formula in the dataset: 99 meV/atom
* M_tot: 0.0 μB/f.u.
* formation energy: -0.14 eV/f.u.
* SG: No. 156

No. 14
Compound: CuP2Ru
Source: Alexandria via LeMat-Bulk
Functional: PBE-GGA
Structure: optimized geometry

POSCAR file:
```
CuP2Ru
1.0
-2.3594 -3.2408 -1.3337
1.8516 -3.5762 -1.2769
-0.3101 -3.4958 2.3520
Cu P Ru
1 2 1
Cartesian
-0.4089 -5.1564 -0.1293
0.0000 0.0000 0.0000
-0.2045 -2.5782 -0.0646
-0.6134 -7.7346 -0.1939
```

Output
* excess energy over the best structure of this formula in the dataset: 607 meV/atom
* M_tot: 0.0 μB/f.u.
* formation energy: 1.82 eV/f.u.
* SG: No. 216

No. 15
Compound: Sr2Zn4Cd3In
Source: Alexandria via LeMat-Bulk
Functional: PBE-GGA
Structure: optimized geometry

POSCAR file:
```
Sr2Zn4Cd3In
1.0
4.5767 0.0000 0.0000
0.0000 4.5767 0.0000
0.0000 0.0000 11.5593
Sr Zn Cd In
2 4 3 1
Cartesian
2.2883 0.0000 2.8452
0.0000 2.2883 8.7141
2.2883 2.2883 0.0000
0.0000 0.0000 0.0000
2.2883 0.0000 7.3871
0.0000 2.2883 4.1722
0.0000 0.0000 5.7796
2.2883 0.0000 10.0519
0.0000 2.2883 1.5073
2.2883 2.2883 5.7796
```

Output
* M_tot: 0.0 μB/f.u.
* formation energy: -2.21 eV/f.u.
* SG: No. 115

No. 16
Compound: Ba2TlCdCu
Source: Alexandria via LeMat-Bulk
Functional: PBE-GGA
Structure: optimized geometry

POSCAR file:
```
Ba2TlCdCu
1.0
-0.1305 6.2310 -0.3925
-1.5010 0.3498 6.0515
4.8257 0.1759 1.1868
Tl Ba Cu Cd
1 2 1 1
Cartesian
2.4128 0.0879 0.5934
-0.7505 0.1749 3.0258
-0.0653 3.1155 -0.1963
0.0000 0.0000 0.0000
1.5971 3.3783 3.4229
```

Output
* excess energy over the best structure of this formula in the dataset: 11 meV/atom
* M_tot: 0.0 μB/f.u.
* formation energy: -0.50 eV/f.u.
* SG: No. 123

No. 17
Compound: NdZrSi4
Source: Alexandria via LeMat-Bulk
Functional: PBE-GGA
Structure: optimized geometry

POSCAR file:
```
NdZrSi4
1.0
3.8822 0.0000 0.0000
0.0000 7.3341 0.0000
0.0000 0.0000 16.2940
Nd Zr Si
4 4 16
Cartesian
0.0000 4.5802 5.3692
0.0000 2.7539 10.9248
0.0000 0.9131 2.7778
0.0000 6.4210 13.5162
0.0000 4.5959 1.4361
0.0000 2.7382 14.8579
0.0000 0.9289 6.7109
0.0000 6.4052 9.5831
1.9411 5.7584 3.1499
1.9411 1.5757 13.1441
1.9411 2.0913 4.9971
1.9411 5.2428 11.2970
1.9411 6.5866 0.9198
1.9411 0.7475 15.3742
1.9411 2.9195 7.2272
1.9411 4.4146 9.0668
1.9411 6.2907 7.4473
1.9411 1.0434 8.8467
1.9411 2.6237 0.6997
1.9411 4.7104 15.5943
1.9411 7.0388 5.1062
1.9411 0.2953 11.1878
1.9411 3.3718 3.0408
1.9411 3.9623 13.2532
```

Output
* raw formation energy: -0.49 eV per atom
* M_tot: 0.0 μB/f.u.
* SG: No. 55

No. 18
Compound: YSc2Mo
Source: Alexandria via LeMat-Bulk
Functional: PBE-GGA
Structure: optimized geometry

POSCAR file:
```
YSc2Mo
1.0
-3.1997 -3.3302 -3.5147
-2.1466 -5.3511 -0.6630
-4.9584 -0.6792 1.3498
Mo Sc Y
1 2 1
Cartesian
-7.7285 -7.0204 -2.1210
-4.9725 -0.9759 1.1447
-5.1383 -4.3836 -1.2089
-2.5762 -2.3401 -0.7070
```

Output
* excess energy over the best structure of this formula in the dataset: 57 meV/atom
* M_tot: 0.0 μB/f.u.
* formation energy: 0.80 eV/f.u.
* SG: No. 12

No. 19
Compound: Nd4IrAuBr2
Source: Alexandria via LeMat-Bulk
Functional: PBE-GGA
Structure: optimized geometry

POSCAR file:
```
Nd4IrAuBr2
1.0
4.2261 0.0000 0.0000
0.0000 8.1381 -0.3945
0.0000 2.6200 6.9186
Nd Ir Au Br
4 1 1 2
Cartesian
0.0001 7.6678 4.8645
4.2261 3.0903 1.6596
2.1131 6.4079 1.6244
2.1131 4.3502 4.8998
0.0000 5.3790 3.2621
2.1131 4.0691 -0.1972
0.0000 2.6200 6.9186
2.1131 1.3100 3.4593
```

Output
* raw formation energy: -1.04 eV per atom
* M_tot: 0.0 μB/f.u.
* SG: No. 10

No. 20
Compound: Al5Cr3
Source: Alexandria via LeMat-Bulk
Functional: PBE-GGA
Structure: optimized geometry

POSCAR file:
```
Al5Cr3
1.0
-3.7653 5.2420 3.5315
-1.0019 -5.6120 -4.6507
1.4642 -4.1049 5.9399
Cr Al
6 10
Cartesian
-3.5745 -0.2772 -0.8390
0.2734 -4.1982 5.6597
-0.6678 -1.3238 3.3094
-2.6319 -3.1570 1.5073
-0.0892 -6.3568 2.5162
-3.2097 1.8747 2.2996
-0.9591 -4.9542 0.3642
-2.3405 0.4744 4.4532
-1.7365 0.1653 7.3875
-1.5642 -4.6450 -2.5661
-2.8779 -0.6362 1.7104
-0.4221 -3.8454 3.1075
-1.1913 -1.9728 5.7719
-2.1086 -2.5030 -0.9554
-0.0605 -2.1534 0.9851
-3.2391 -2.3263 3.8306
```

Output
* M_tot: 7.1 μB/f.u.
* formation energy: 0.35 eV/f.u.
* SG: No. 12